Entry 1:
A plane-wave DFT calculation with GGA-PBE was carried out for a relaxed CsBiSb crystal.

Properties
N(E_F)   1.1 states/eV per cell
Formation energy (no corrections)   -277 meV/atom
E above lowest polymorph   14 meV per atom
E   -3.2297 eV/atom
Space-group type   No. 107

Unit cell a=7.542 b=7.542 c=7.542 alpha=147.71 beta=147.71 gamma=46.31
Atoms (fractional coordinates):
Cs  0.000  0.000  0.000
Bi  0.286  0.286  0.000
Sb  0.706  0.706  0.000


Entry 2:
A plane-wave DFT calculation with GGA-PBE was carried out for a relaxed CsGe2Ir crystal.

Properties
N(E_F)   3.5 states/eV per cell
E_form   0.061 eV per atom
E above lowest polymorph   263 meV per atom
E   -4.6759 eV/atom
Space-group type   No. 123

Unit cell a=3.344 b=3.344 c=8.301 alpha=90.00 beta=90.00 gamma=90.00
Atoms (fractional coordinates):
Cs  0.000  0.000  0.000
Ge  0.500  0.500  0.338
Ge  0.500  0.500  0.662
Ir  0.000  0.000  0.500


Entry 3:
A plane-wave DFT calculation with GGA-PBE was carried out for a relaxed CsCdAgAu crystal.

Properties
N(E_F)   1.8 states/eV per cell
E_form   -0.173 eV per atom
E   -2.1473 eV/atom
Space-group type   No. 8

Unit cell a=4.907 b=4.907 c=7.082 alpha=110.41 beta=110.41 gamma=60.44
Atoms (fractional coordinates):
Cs  0.000  0.000  0.000
Cd  0.500  0.500  0.500
Ag  0.181  0.181  0.544
Au  0.816  0.816  0.450


Entry 4:
A plane-wave DFT calculation with GGA-PBE was carried out for a relaxed BaMnMo crystal.

Properties
N(E_F)   5.5 states/eV per cell
E_form   0.523 eV per atom
E above lowest polymorph   71 meV per atom
E   -6.7848 eV/atom
Space-group type   No. 8

Unit cell a=4.139 b=4.139 c=11.629 alpha=100.49 beta=100.49 gamma=60.05
Atoms (fractional coordinates):
Ba  0.000  0.000  0.000
Ba  0.219  0.219  0.640
Mn  0.114  0.114  0.332
Mn  0.734  0.734  0.195
Mo  0.419  0.419  0.250
Mo  0.804  0.804  0.401


Entry 5:
A plane-wave DFT calculation with GGA-PBE was carried out for a relaxed Dy2Pa2C3 crystal.

Properties
N(E_F)   4.8 states/eV per cell
E_form   -0.280 eV per atom
E   -8.2615 eV/atom
Space-group type   No. 12

Unit cell a=6.846 b=6.846 c=6.032 alpha=115.25 beta=115.25 gamma=30.05
Atoms (fractional coordinates):
Dy  0.129  0.129  0.473
Dy  0.871  0.871  0.527
Pa  0.376  0.376  0.055
Pa  0.624  0.624  0.945
C  0.238  0.238  0.208
C  0.500  0.500  0.500
C  0.762  0.762  0.792


Entry 6:
A plane-wave DFT calculation with GGA-PBE was carried out for a relaxed SrCa3O crystal.

Properties
N(E_F)   1.5 states/eV per cell
Formation energy (no corrections)   -864 meV/atom
E above lowest polymorph   0 meV per atom
E   -3.3925 eV/atom
Space-group type   No. 221

Unit cell a=5.299 b=5.299 c=5.299 alpha=90.00 beta=90.00 gamma=90.00
Atoms (fractional coordinates):
Sr  0.000  0.000  0.000
Ca  0.000  0.500  0.500
Ca  0.500  0.000  0.500
Ca  0.500  0.500  0.000
O  0.500  0.500  0.500